[1]
## NdAgS2O8 (PBE-GGA)

Data for crystalline NdAgS2O8 at its relaxed geometry.

- Electronic total energy: -75.86 eV for the cell shown
- Formation energy from raw total energies: -1.6932 eV/atom
- DOS(E_F): 0.000 states/eV/f.u.

POSCAR file:
```
NdAgS2O8
1.0
2.5766 1.4876 7.4286
-2.5766 1.4876 7.4286
0.0000 -2.9752 7.4286
Nd Ag S O
1 1 2 8
Direct
0.0000 0.0000 0.0000
0.5000 0.5000 0.5000
0.2453 0.2453 0.2453
0.7547 0.7547 0.7547
0.0069 0.4622 0.7216
0.1800 0.1800 0.1800
0.2784 0.9931 0.5378
0.4622 0.7216 0.0069
0.5378 0.2784 0.9931
0.7216 0.0069 0.4622
0.8200 0.8200 0.8200
0.9931 0.5378 0.2784
```

[2]
## NdAg2SO8 (PBE-GGA)

Data for crystalline NdAg2SO8 at its relaxed geometry.

- Electronic total energy: -61.46 eV for the cell shown
- Formation energy from raw total energies: -0.5994 eV/atom
- DOS(E_F): 10.465 states/eV/f.u.

POSCAR file:
```
NdAg2SO8
1.0
5.0943 0.0000 0.0000
-2.5472 4.4118 0.0000
0.0000 0.0000 6.4156
Nd Ag S O
1 2 1 8
Direct
0.0000 0.0000 0.0000
0.3333 0.6667 0.3551
0.6667 0.3333 0.6449
0.0000 0.0000 0.5000
0.1505 0.3010 0.6550
0.1505 0.8495 0.6550
0.3010 0.1505 0.3450
0.3333 0.6667 0.0358
0.6667 0.3333 0.9642
0.6990 0.8495 0.6550
0.8495 0.1505 0.3450
0.8495 0.6990 0.3450
```

[3]
## NdSi2AgO6 (PBE-GGA)

Data for crystalline NdSi2AgO6 at its relaxed geometry.

- Electronic total energy: -144.84 eV for the cell shown
- Formation energy from raw total energies: -2.4204 eV/atom
- DOS(E_F): 0.000 states/eV/f.u.

POSCAR file:
```
NdSi2AgO6
1.0
3.7560 -5.6255 0.0000
3.7560 5.6255 0.0000
-1.6200 0.0000 6.6895
Nd Si Ag O
2 4 2 12
Direct
0.0922 0.9078 0.7500
0.9078 0.0922 0.2500
0.0007 0.3320 0.8714
0.3320 0.0007 0.3714
0.6680 0.9993 0.6286
0.9993 0.6680 0.1286
0.4899 0.5101 0.7500
0.5101 0.4899 0.2500
0.0211 0.4336 0.1467
0.0959 0.7931 0.3943
0.2069 0.9041 0.1057
0.2280 0.2935 0.8949
0.2935 0.2280 0.3949
0.4336 0.0211 0.6467
0.5664 0.9789 0.3533
0.7065 0.7720 0.6051
0.7720 0.7065 0.1051
0.7931 0.0959 0.8943
0.9041 0.2069 0.6057
0.9789 0.5664 0.8533
```

[4]
## Nd2SiAgO6 (PBE-GGA)

Data for crystalline Nd2SiAgO6 at its relaxed geometry.

- Electronic total energy: -71.17 eV for the cell shown
- Formation energy from raw total energies: -2.3611 eV/atom
- DOS(E_F): 2.468 states/eV/f.u.

POSCAR file:
```
Nd2SiAgO6
1.0
5.4177 0.0000 0.0000
0.0000 5.4177 0.0000
0.0000 0.0000 4.6137
Nd Si Ag O
2 1 1 6
Direct
0.0000 0.5000 0.0000
0.5000 0.0000 0.0000
0.0000 0.0000 0.5830
0.5000 0.5000 0.5611
0.0000 0.0000 0.2231
0.2186 0.2186 0.6968
0.2186 0.7814 0.6968
0.5000 0.5000 0.0901
0.7814 0.2186 0.6968
0.7814 0.7814 0.6968
```

[5]
## Sr2NdAgO4 (PBE-GGA)

Data for crystalline Sr2NdAgO4 at its relaxed geometry.

- Electronic total energy: -49.37 eV for the cell shown
- Formation energy from raw total energies: -2.3195 eV/atom
- DOS(E_F): 0.000 states/eV/f.u.

POSCAR file:
```
Sr2NdAgO4
1.0
6.1868 0.0000 0.0000
0.0000 3.6476 0.0000
-2.0667 0.0000 5.8945
Sr Nd Ag O
2 1 1 4
Direct
0.0000 0.0000 0.0000
0.5000 0.5000 0.0000
0.0000 0.5000 0.5000
0.5000 0.0000 0.5000
0.2250 0.0000 0.7406
0.2247 0.5000 0.2460
0.7750 0.0000 0.2594
0.7753 0.5000 0.7540
```

[6]
## SrNd2AgO5 (PBE-GGA)

Data for crystalline SrNd2AgO5 at its relaxed geometry.

- Electronic total energy: -119.26 eV for the cell shown
- Formation energy from raw total energies: -2.3076 eV/atom
- DOS(E_F): 6.879 states/eV/f.u.

POSCAR file:
```
SrNd2AgO5
1.0
-3.3808 3.3808 6.1672
3.3808 -3.3808 6.1672
3.3808 3.3808 -6.1672
Sr Nd Ag O
2 4 2 10
Direct
0.2500 0.2500 0.0000
0.7500 0.7500 0.0000
0.1690 0.6690 0.8380
0.3310 0.1690 0.5000
0.6690 0.8310 0.5000
0.8310 0.3310 0.1620
0.2500 0.7500 0.5000
0.7500 0.2500 0.5000
0.0000 0.0000 0.0000
0.0307 0.2267 0.5000
0.2267 0.7267 0.1960
0.2733 0.4693 0.5000
0.4693 0.9693 0.1960
0.5000 0.5000 0.0000
0.5307 0.0307 0.8040
0.7267 0.5307 0.5000
0.7733 0.2733 0.8040
0.9693 0.7733 0.5000
```

[7]
## NdTcAgO5 (PBE-GGA)

Data for crystalline NdTcAgO5 at its relaxed geometry.

- Electronic total energy: -112.12 eV for the cell shown
- Formation energy from raw total energies: -1.6605 eV/atom
- DOS(E_F): 3.742 states/eV/f.u.

POSCAR file:
```
NdTcAgO5
1.0
4.4231 -4.6482 0.0000
4.4231 4.6482 0.0000
-4.3328 0.0000 7.6198
Nd Tc Ag O
2 2 2 10
Direct
0.0000 0.0000 0.0000
0.0000 0.0000 0.5000
0.3579 0.6421 0.7500
0.6421 0.3579 0.2500
0.2987 0.7013 0.2500
0.7013 0.2987 0.7500
0.0707 0.9293 0.2500
0.2472 0.7400 0.9169
0.2600 0.7528 0.5831
0.2919 0.3382 0.6532
0.3382 0.2919 0.1532
0.6618 0.7081 0.8468
0.7081 0.6618 0.3468
0.7400 0.2472 0.4169
0.7528 0.2600 0.0831
0.9293 0.0707 0.7500
```

[8]
## NdAg2TeO6 (PBE-GGA)

Data for crystalline NdAg2TeO6 at its relaxed geometry.

- Electronic total energy: -111.74 eV for the cell shown
- Formation energy from raw total energies: -1.2511 eV/atom
- DOS(E_F): 6.745 states/eV/f.u.

POSCAR file:
```
NdAg2TeO6
1.0
5.6583 0.0000 0.0000
0.0000 5.9451 0.0000
-5.5286 0.0000 8.2820
Nd Ag Te O
2 4 2 12
Direct
0.0000 0.0000 0.0000
0.0000 0.5000 0.5000
0.2471 0.0585 0.7332
0.2471 0.4415 0.2332
0.7529 0.5585 0.7668
0.7529 0.9415 0.2668
0.5000 0.0000 0.5000
0.5000 0.5000 0.0000
0.1564 0.0665 0.2809
0.1564 0.4335 0.7809
0.2832 0.6877 0.0526
0.2832 0.8123 0.5526
0.4056 0.2396 0.0821
0.4056 0.2604 0.5821
0.5944 0.7396 0.4179
0.5944 0.7604 0.9179
0.7168 0.1877 0.4474
0.7168 0.3123 0.9474
0.8436 0.5665 0.2191
0.8436 0.9335 0.7191
```

[9]
## Nd2TiAgO6 (PBE-GGA)

Data for crystalline Nd2TiAgO6 at its relaxed geometry.

- Electronic total energy: -74.40 eV for the cell shown
- Formation energy from raw total energies: -2.4369 eV/atom
- DOS(E_F): 3.448 states/eV/f.u.

POSCAR file:
```
Nd2TiAgO6
1.0
5.5947 0.0000 0.0000
0.0000 5.5947 0.0000
0.0000 0.0000 4.7296
Nd Ti Ag O
2 1 1 6
Direct
0.0000 0.5000 0.0000
0.5000 0.0000 0.0000
0.0000 0.0000 0.5948
0.5000 0.5000 0.5874
0.0000 0.0000 0.2127
0.2292 0.2292 0.7295
0.2292 0.7708 0.7295
0.5000 0.5000 0.1290
0.7708 0.2292 0.7295
0.7708 0.7708 0.7295
```

[10]
## Nd4TlAgO (PBE-GGA)

Data for crystalline Nd4TlAgO at its relaxed geometry.

- Electronic total energy: -71.46 eV for the cell shown
- Formation energy from raw total energies: -0.9259 eV/atom
- DOS(E_F): 3.307 states/eV/f.u.

POSCAR file:
```
Nd4TlAgO
1.0
3.4800 -7.8830 0.0000
3.4800 7.8830 0.0000
0.0000 0.0000 6.9746
Nd Tl Ag O
8 2 2 2
Direct
0.0000 0.5000 0.0000
0.0000 0.5000 0.5000
0.0651 0.9349 0.7500
0.4208 0.5792 0.7500
0.5000 0.0000 0.0000
0.5000 0.0000 0.5000
0.5792 0.4208 0.2500
0.9349 0.0651 0.2500
0.3835 0.6165 0.2500
0.6165 0.3835 0.7500
0.1211 0.8789 0.2500
0.8789 0.1211 0.7500
0.2551 0.7449 0.7500
0.7449 0.2551 0.2500
```

[11]
## Nd2TlAgO5 (PBE-GGA)

Data for crystalline Nd2TlAgO5 at its relaxed geometry.

- Electronic total energy: -111.53 eV for the cell shown
- Formation energy from raw total energies: -1.8021 eV/atom
- DOS(E_F): 0.086 states/eV/f.u.

POSCAR file:
```
Nd2TlAgO5
1.0
6.8315 0.0000 0.0000
0.0000 6.8315 0.0000
0.0000 0.0000 6.2723
Nd Tl Ag O
4 2 2 10
Direct
0.1753 0.3247 0.0000
0.3247 0.8247 0.0000
0.6753 0.1753 0.0000
0.8247 0.6753 0.0000
0.0000 0.5000 0.5000
0.5000 0.0000 0.5000
0.0000 0.0000 0.5000
0.5000 0.5000 0.5000
0.0000 0.0000 0.0000
0.1418 0.6418 0.2351
0.1418 0.6418 0.7649
0.3582 0.1418 0.2351
0.3582 0.1418 0.7649
0.5000 0.5000 0.0000
0.6418 0.8582 0.2351
0.6418 0.8582 0.7649
0.8582 0.3582 0.2351
0.8582 0.3582 0.7649
```

[12]
## Nd12Tl4AgO3 (PBE-GGA)

Data for crystalline Nd12Tl4AgO3 at its relaxed geometry.

- Electronic total energy: -102.65 eV for the cell shown
- Formation energy from raw total energies: -0.9120 eV/atom
- DOS(E_F): 17.764 states/eV/f.u.

POSCAR file:
```
Nd12Tl4AgO3
1.0
-5.1628 5.1628 5.1628
5.1628 -5.1628 5.1628
5.1628 5.1628 -5.1628
Nd Tl Ag O
12 4 1 3
Direct
0.0000 0.2710 0.2710
0.0000 0.7290 0.7290
0.2500 0.5000 0.7500
0.2500 0.7500 0.5000
0.2710 0.0000 0.2710
0.2710 0.2710 0.0000
0.5000 0.2500 0.7500
0.5000 0.7500 0.2500
0.7290 0.0000 0.7290
0.7290 0.7290 0.0000
0.7500 0.2500 0.5000
0.7500 0.5000 0.2500
0.0000 0.0000 0.5000
0.0000 0.5000 0.0000
0.5000 0.0000 0.0000
0.5000 0.5000 0.5000
0.0000 0.0000 0.0000
0.0000 0.5000 0.5000
0.5000 0.0000 0.5000
0.5000 0.5000 0.0000
```

[13]
## NdUAgO6 (PBE-GGA)

Data for crystalline NdUAgO6 at its relaxed geometry.

- Electronic total energy: -67.55 eV for the cell shown
- Formation energy from raw total energies: -2.0994 eV/atom
- DOS(E_F): 6.584 states/eV/f.u.

POSCAR file:
```
NdUAgO6
1.0
5.9369 0.0000 0.0000
-2.9684 5.1415 0.0000
0.0000 0.0000 4.5014
Nd U Ag O
1 1 1 6
Direct
0.0000 0.0000 0.0000
0.3333 0.6667 0.0000
0.6667 0.3333 0.5000
0.0318 0.3714 0.2362
0.0318 0.6604 0.7638
0.3396 0.3714 0.7638
0.3396 0.9682 0.2362
0.6286 0.6604 0.2362
0.6286 0.9682 0.7638
```